# Mg2CoCu GGA-PBE optimized geometry
# Total magnetic moment ... 1.2 μB per cell
# Energy of formation ... 0.109 eV per atom
# DOS at the Fermi energy ... 1.042 states/eV/atom
# Calculated density ... 4499 kg/m3
# Symmetry ... No. 99
data_Mg2CoCu
_chemical_formula_sum 'Mg2 Co1 Cu1'
_space_group_name_H-M_alt 'P 1'
_space_group_IT_number 1
_space_group_name_Hall 'P 1'
_cell_length_a 3.0385
_cell_length_b 3.0385
_cell_length_c 6.8396
_cell_angle_alpha 90.00
_cell_angle_beta 90.00
_cell_angle_gamma 90.00
loop_
_atom_site_label
_atom_site_type_symbol
_atom_site_fract_x
_atom_site_fract_y
_atom_site_fract_z
Mg1 Mg 0.0000 0.0000 0.0000
Mg2 Mg 0.5000 0.5000 0.3489
Co1 Co 0.0000 0.0000 0.5819
Cu1 Cu 0.5000 0.5000 0.7621

# La2Tb3Pr9 GGA-PBE optimized geometry
# Total magnetic moment ... 0.0 μB per cell
# Energy of formation ... 0.238 eV per atom
# DOS at the Fermi energy ... 1.341 states/eV/atom
# Calculated density ... 6508 kg/m3
# Symmetry ... No. 176
data_La2Tb3Pr9
_chemical_formula_sum 'La4 Tb6 Pr18'
_space_group_name_H-M_alt 'P 1'
_space_group_IT_number 1
_space_group_name_Hall 'P 1'
_cell_length_a 9.2931
_cell_length_b 9.2931
_cell_length_c 13.8019
_cell_angle_alpha 90.00
_cell_angle_beta 90.00
_cell_angle_gamma 120.00
loop_
_atom_site_label
_atom_site_type_symbol
_atom_site_fract_x
_atom_site_fract_y
_atom_site_fract_z
La1 La 0.3333 0.6667 0.1372
La2 La 0.3333 0.6667 0.3628
La3 La 0.6667 0.3333 0.6372
La4 La 0.6667 0.3333 0.8628
Tb1 Tb 0.0796 0.2475 0.2500
Tb2 Tb 0.1678 0.9204 0.2500
Tb3 Tb 0.2475 0.1678 0.7500
Tb4 Tb 0.7525 0.8322 0.2500
Tb5 Tb 0.8322 0.0796 0.7500
Tb6 Tb 0.9204 0.7525 0.7500
Pr1 Pr 0.0812 0.4839 0.7500
Pr2 Pr 0.1265 0.7263 0.5378
Pr3 Pr 0.1265 0.7263 0.9622
Pr4 Pr 0.2737 0.4001 0.5378
Pr5 Pr 0.2737 0.4001 0.9622
Pr6 Pr 0.4001 0.1265 0.0378
Pr7 Pr 0.4001 0.1265 0.4622
Pr8 Pr 0.4027 0.9188 0.7500
Pr9 Pr 0.4839 0.4027 0.2500
Pr10 Pr 0.5161 0.5973 0.7500
Pr11 Pr 0.5973 0.0812 0.2500
Pr12 Pr 0.5999 0.8735 0.5378
Pr13 Pr 0.5999 0.8735 0.9622
Pr14 Pr 0.7263 0.5999 0.0378
Pr15 Pr 0.7263 0.5999 0.4622
Pr16 Pr 0.8735 0.2737 0.0378
Pr17 Pr 0.8735 0.2737 0.4622
Pr18 Pr 0.9188 0.5161 0.2500

# CdP2 GGA-PBE optimized geometry
# Total magnetic moment ... 0.0 μB per cell
# Energy of formation ... 0.054 eV per atom
# DOS at the Fermi energy ... 0.087 states/eV/atom
# Calculated density ... 3836 kg/m3
# Symmetry ... No. 8
data_CdP2
_chemical_formula_sum 'Cd2 P4'
_space_group_name_H-M_alt 'P 1'
_space_group_IT_number 1
_space_group_name_Hall 'P 1'
_cell_length_a 6.5977
_cell_length_b 6.5977
_cell_length_c 8.1244
_cell_angle_alpha 115.86
_cell_angle_beta 115.86
_cell_angle_gamma 28.55
loop_
_atom_site_label
_atom_site_type_symbol
_atom_site_fract_x
_atom_site_fract_y
_atom_site_fract_z
Cd1 Cd 0.0000 0.0000 0.0000
Cd2 Cd 0.5610 0.5610 0.3301
P1 P 0.0151 0.0151 0.6895
P2 P 0.1949 0.1949 0.7073
P3 P 0.4226 0.4226 0.4983
P4 P 0.7706 0.7706 0.9082

# ScZn2Cd2Pd5 GGA-PBE optimized geometry
# Total magnetic moment ... 0.0 μB per cell
# Energy of formation ... -0.473 eV per atom
# DOS at the Fermi energy ... 0.247 states/eV/atom
# Calculated density ... 9064 kg/m3
# Symmetry ... No. 127
data_ScZn2Cd2Pd5
_chemical_formula_sum 'Sc2 Zn4 Cd4 Pd10'
_space_group_name_H-M_alt 'P 1'
_space_group_IT_number 1
_space_group_name_Hall 'P 1'
_cell_length_a 9.4018
_cell_length_b 9.4018
_cell_length_c 3.8662
_cell_angle_alpha 90.00
_cell_angle_beta 90.00
_cell_angle_gamma 90.00
loop_
_atom_site_label
_atom_site_type_symbol
_atom_site_fract_x
_atom_site_fract_y
_atom_site_fract_z
Sc1 Sc 0.0000 0.0000 0.0000
Sc2 Sc 0.5000 0.5000 0.0000
Zn1 Zn 0.1245 0.3755 0.0000
Zn2 Zn 0.3755 0.8755 0.0000
Zn3 Zn 0.6245 0.1245 0.0000
Zn4 Zn 0.8755 0.6245 0.0000
Cd1 Cd 0.1706 0.6706 0.0000
Cd2 Cd 0.3294 0.1706 0.0000
Cd3 Cd 0.6706 0.8294 0.0000
Cd4 Cd 0.8294 0.3294 0.0000
Pd1 Pd 0.0000 0.5000 0.5000
Pd2 Pd 0.0862 0.1951 0.5000
Pd3 Pd 0.1951 0.9138 0.5000
Pd4 Pd 0.3049 0.4138 0.5000
Pd5 Pd 0.4138 0.6951 0.5000
Pd6 Pd 0.5000 0.0000 0.5000
Pd7 Pd 0.5862 0.3049 0.5000
Pd8 Pd 0.6951 0.5862 0.5000
Pd9 Pd 0.8049 0.0862 0.5000
Pd10 Pd 0.9138 0.8049 0.5000

# Cs2PaReN4 GGA-PBE optimized geometry
# E_form (uncorrected) ... -0.34 eV per atom
# Total magnetic moment ... 3.8 μB per cell
# DOS at the Fermi energy ... 0.492 states/eV/atom
# Calculated density ... 4921 kg/m3
# Symmetry ... No. 70
data_Cs2PaReN4
_chemical_formula_sum 'Cs4 Pa2 Re2 N8'
_space_group_name_H-M_alt 'P 1'
_space_group_IT_number 1
_space_group_name_Hall 'P 1'
_cell_length_a 13.7706
_cell_length_b 12.3776
_cell_length_c 7.4358
_cell_angle_alpha 84.12
_cell_angle_beta 63.39
_cell_angle_gamma 32.49
loop_
_atom_site_label
_atom_site_type_symbol
_atom_site_fract_x
_atom_site_fract_y
_atom_site_fract_z
Cs1 Cs 0.0545 0.0545 0.6955
Cs2 Cs 0.3045 0.3045 0.9455
Cs3 Cs 0.6955 0.6955 0.0545
Cs4 Cs 0.9455 0.9455 0.3045
Pa1 Pa 0.1250 0.1250 0.1250
Pa2 Pa 0.8750 0.8750 0.8750
Re1 Re 0.3750 0.3750 0.3750
Re2 Re 0.6250 0.6250 0.6250
N1 N 0.0469 0.6323 0.5559
N2 N 0.2648 0.5559 0.6323
N3 N 0.3677 0.9531 0.7352
N4 N 0.4441 0.7352 0.9531
N5 N 0.5559 0.2648 0.0469
N6 N 0.6323 0.0469 0.2648
N7 N 0.7352 0.4441 0.3677
N8 N 0.9531 0.3677 0.4441

# LaCoTeN2 GGA-PBE optimized geometry
# E_form (uncorrected) ... 0.47 eV per atom
# Total magnetic moment ... 2.8 μB per cell
# DOS at the Fermi energy ... 0.427 states/eV/atom
# Calculated density ... 6721 kg/m3
# Symmetry ... No. 123
data_LaCoTeN2
_chemical_formula_sum 'La1 Co1 Te1 N2'
_space_group_name_H-M_alt 'P 1'
_space_group_IT_number 1
_space_group_name_Hall 'P 1'
_cell_length_a 4.1945
_cell_length_b 4.1945
_cell_length_c 4.9634
_cell_angle_alpha 90.00
_cell_angle_beta 90.00
_cell_angle_gamma 90.00
loop_
_atom_site_label
_atom_site_type_symbol
_atom_site_fract_x
_atom_site_fract_y
_atom_site_fract_z
La1 La 0.0000 0.0000 0.0000
Co1 Co 0.5000 0.5000 0.5000
Te1 Te 0.5000 0.5000 0.0000
N1 N 0.0000 0.5000 0.5000
N2 N 0.5000 0.0000 0.5000

# BPdS GGA-PBE optimized geometry
# Distance to the lowest polymorph of the same formula ... 71 meV/atom
# E_form (uncorrected) ... -0.14 eV per atom
# Total magnetic moment ... 0.0 μB per cell
# DOS at the Fermi energy ... 0.336 states/eV/atom
# Calculated density ... 5806 kg/m3
# Symmetry ... No. 10
data_BPdS
_chemical_formula_sum 'B2 Pd2 S2'
_space_group_name_H-M_alt 'P 1'
_space_group_IT_number 1
_space_group_name_Hall 'P 1'
_cell_length_a 2.9799
_cell_length_b 4.0409
_cell_length_c 7.0927
_cell_angle_alpha 90.00
_cell_angle_beta 90.31
_cell_angle_gamma 90.00
loop_
_atom_site_label
_atom_site_type_symbol
_atom_site_fract_x
_atom_site_fract_y
_atom_site_fract_z
B1 B 0.0017 0.0000 0.1211
B2 B 0.9983 0.0000 0.8789
Pd1 Pd 0.0000 0.5000 0.0000
Pd2 Pd 0.5000 0.5000 0.5000
S1 S 0.4963 0.0000 0.7169
S2 S 0.5037 0.0000 0.2831

# LiGePt2 GGA-PBE optimized geometry
# Total magnetic moment ... 0.0 μB per cell
# Energy of formation ... -0.418 eV per atom
# DOS at the Fermi energy ... 0.514 states/eV/atom
# Calculated density ... 11782 kg/m3
# Symmetry ... No. 160
data_LiGePt2
_chemical_formula_sum 'Li1 Ge1 Pt2'
_space_group_name_H-M_alt 'P 1'
_space_group_IT_number 1
_space_group_name_Hall 'P 1'
_cell_length_a 5.0831
_cell_length_b 5.0831
_cell_length_c 5.0831
_cell_angle_alpha 47.89
_cell_angle_beta 47.89
_cell_angle_gamma 47.89
loop_
_atom_site_label
_atom_site_type_symbol
_atom_site_fract_x
_atom_site_fract_y
_atom_site_fract_z
Li1 Li 0.0000 0.0000 0.0000
Ge1 Ge 0.1917 0.1917 0.1917
Pt1 Pt 0.5789 0.5789 0.5789
Pt2 Pt 0.7827 0.7827 0.7827

# ScAlSn GGA-PBE optimized geometry
# Total magnetic moment ... 0.0 μB per cell
# Energy of formation ... -0.301 eV per atom
# DOS at the Fermi energy ... 0.714 states/eV/atom
# Calculated density ... 5025 kg/m3
# Symmetry ... No. 187
data_ScAlSn
_chemical_formula_sum 'Sc1 Al1 Sn1'
_space_group_name_H-M_alt 'P 1'
_space_group_IT_number 1
_space_group_name_Hall 'P 1'
_cell_length_a 4.8113
_cell_length_b 4.8113
_cell_length_c 3.1429
_cell_angle_alpha 90.00
_cell_angle_beta 90.00
_cell_angle_gamma 120.00
loop_
_atom_site_label
_atom_site_type_symbol
_atom_site_fract_x
_atom_site_fract_y
_atom_site_fract_z
Sc1 Sc 0.0000 0.0000 0.0000
Al1 Al 0.3333 0.6667 0.5000
Sn1 Sn 0.6667 0.3333 0.5000

Question: calculated density of number 2 (La2Tb3Pr9)?
Answer: 6508 kg/m3

Question: Which value of total magnetic moment does entry 4 give?
Answer: 0.0 μB per cell